DFT (GGA-PBEsol) results for an optimized crystal structure of TlCd4.

Cell and atoms, written as POSCAR:
```
TlCd4
1.0
-0.622 4.104 0.394
-4.108 -0.651 0.300
2.957 -2.297 6.532
Cd Tl
4 1
direct
0.600 0.600 0.200 Cd
0.250 0.750 0.500 Cd
0.400 0.400 0.800 Cd
0.750 0.250 0.500 Cd
0.000 0.000 0.000 Tl
```

Computed properties:
- ΔE to the lowest computed polymorph (meV per atom) = 0
- uncorrected energy (eV/atom) = -1.406
- total magnetization (μB per formula unit) = 0.00
- space group = I4/mmm (139)
- energy of formation from the pure elements (eV/atom) = 0.08
- ρ (Mg/m³) = 9.0